Entry 1:
! TeAsRh2, optimized geometry, DFT PBEsol; values from VASP
&SYSTEM
  ibrav = 0, nat = 4, ntyp = 3
/
ATOMIC_SPECIES
Te 127.60 Te.upf
As 74.92 As.upf
Rh 102.91 Rh.upf
ATOMIC_POSITIONS crystal
Te 0.000 0.000 0.000
As 0.500 0.500 0.443
Rh 0.000 0.500 0.696
Rh 0.500 0.000 0.696
CELL_PARAMETERS angstrom
3.943 0.000 0.000
0.000 3.943 0.000
0.000 0.000 5.436
! Energy above the lowest structure with this stoichiometry in eV/atom: 0.000
! Calculated volume in A^3/atom: 21.13

---

Entry 2:
! TiAsRh, optimized geometry, DFT PBEsol; values from VASP
&SYSTEM
  ibrav = 0, nat = 12, ntyp = 3
/
ATOMIC_SPECIES
Ti 47.87 Ti.upf
As 74.92 As.upf
Rh 102.91 Rh.upf
ATOMIC_POSITIONS crystal
Ti 0.032 0.250 0.182
Ti 0.468 0.750 0.682
Ti 0.532 0.250 0.318
Ti 0.968 0.750 0.818
As 0.249 0.250 0.878
As 0.251 0.750 0.378
As 0.749 0.250 0.622
As 0.751 0.750 0.122
Rh 0.143 0.250 0.563
Rh 0.357 0.750 0.063
Rh 0.643 0.250 0.937
Rh 0.857 0.750 0.437
CELL_PARAMETERS angstrom
6.295 0.000 0.000
0.000 3.800 0.000
0.000 0.000 7.351
! Energy of formation in eV per atom: -0.936
! Calculated volume in A^3/atom: 14.65

---

Number 1: DFT total energy -6.56 eV per atom. Number 2: DFT total energy -8.12 eV per atom.